Material: Cs2NaAu2
Method: DFT, meta-GGA SCAN
State: PBEsol geometry

Its crystal system is tetragonal. The value obtained for the total energy is -439.25 eV for the cell shown. For the total moment, the calculation gives 0.000 μB per atom. The calculation puts the formation energy from the elements at -28 kJ per mole of atoms.

The structure belongs to space group P4/mbm (No. 127); the cell edges are 8.821, 8.821 and 4.780 Å and the angles 90.00°, 90.00° and 90.00°. The inequivalent atoms are Cs at (0.148, 0.352, 0.000), Na at (0.000, 0.000, 0.500) and Au at (0.155, 0.655, 0.500).